## HoBiSb2 (PBE)

Data for an optimized crystal structure of HoBiSb2.

Final energy = -0.3345 Ry/atom
Space group = P4/mmm, No. 123
Formation energy (no corrections) = -8.65 kcal/mol of atoms
Size of the total moment = 0.00 μB/atom
Relative energy among the computed polymorphs = 0.0 meV per atom

abc: 5.248 5.248 4.084
angles: 90.00 90.00 90.00
Positions (direct):
Ho: 0.000 0.000 0.000
Bi: 0.500 0.500 0.000
Sb: 0.000 0.500 0.500
Sb: 0.500 0.000 0.500